# 1
Entry from Alexandria: CaAgRh2 after structural relaxation (PBE).

It has space group P4/mmm (No. 123), with a = 3.412 Å, b = 3.412 Å, c = 6.208 Å, α = 90.00°, β = 90.00° and γ = 90.00°. The inequivalent atoms are Ca at (0.000, 0.000, 0.000), Ag at (0.000, 0.000, 0.500) and Rh at (0.500, 0.500, 0.274).

# 2
Entry from Alexandria: Ca2AgRh after structural relaxation (PBE).

It has space group Imm2 (No. 44), with a = 3.471 Å, b = 4.872 Å, c = 10.983 Å, α = 90.00°, β = 90.00° and γ = 90.00°. The inequivalent atoms are Ca at (0.000, 0.000, 0.000), Ca at (0.000, 0.500, 0.206), Ag at (0.000, 0.000, 0.425) and Rh at (0.000, 0.500, 0.725).

# 3
Entry from Alexandria: CaAgRh2 after structural relaxation (PBE).

It has space group Pmmm (No. 47), with a = 3.119 Å, b = 4.662 Å, c = 4.812 Å, α = 90.00°, β = 90.00° and γ = 90.00°. The inequivalent atoms are Ca at (0.000, 0.000, 0.000), Ag at (0.500, 0.000, 0.500), Rh at (0.000, 0.500, 0.500) and Rh at (0.500, 0.500, 0.000).

# 4
Entry from Alexandria: Ca2AgRh after structural relaxation (PBE).

It has space group I-42d (No. 122), with a = 7.815 Å, b = 7.815 Å, c = 6.253 Å, α = 90.00°, β = 90.00° and γ = 90.00°. The inequivalent atoms are Ca at (0.220, 0.250, 0.125), Ag at (0.000, 0.000, 0.500) and Rh at (0.000, 0.000, 0.000).

# 5
Entry from Alexandria: Ca2AgRh after structural relaxation (PBE).

It has space group Pmm2 (No. 25), with a = 3.446 Å, b = 4.548 Å, c = 6.021 Å, α = 90.00°, β = 90.00° and γ = 90.00°. The inequivalent atoms are Ca at (0.000, 0.000, 0.000), Ca at (0.500, 0.500, 0.374), Ag at (0.500, 0.500, 0.838) and Rh at (0.000, 0.000, 0.512).

# 6
Entry from Alexandria: CaAgRh2 after structural relaxation (PBE).

It has space group I-4m2 (No. 119), with a = 4.209 Å, b = 4.209 Å, c = 7.992 Å, α = 90.00°, β = 90.00° and γ = 90.00°. The inequivalent atoms are Ca at (0.000, 0.000, 0.000), Ag at (0.000, 0.500, 0.250), Rh at (0.000, 0.000, 0.500) and Rh at (0.000, 0.500, 0.750).

| no. | ΔH_f (0 K) (meV per atom) | electronic total energy (eV for the cell shown) |
| --- | --- | --- |
| 1 | 125 | -19.1 |
| 2 | -233 | -30.3 |
| 3 | 16 | -19.5 |
| 4 | -71 | -58.0 |
| 5 | -108 | -14.6 |
| 6 | 8 | -39.0 |